[1]
# TlGaTeI2

Crystalline TlGaTeI2 at its relaxed geometry (PBE-GGA, Alexandria via LeMat-Bulk).

Calculated values
Formation energy from raw total energies = 0.098 eV/atom
SG = P4/mmm, No. 123
Crystal system = tetragonal

abc: 6.192 6.192 5.793
angles: 90.00 90.00 90.00
Fractional positions:
Tl (0.000, 0.000, 0.000)
Ga (0.500, 0.500, 0.500)
Te (0.000, 0.000, 0.500)
I (0.000, 0.500, 0.000)
I (0.500, 0.000, 0.000)

---

[2]
# SmHo2In3Se6

Crystalline SmHo2In3Se6 at its relaxed geometry (PBE-GGA, Alexandria via LeMat-Bulk).

Calculated values
Formation energy from raw total energies = -1.297 eV/atom
SG = C2/m, No. 12
Crystal system = monoclinic

abc: 7.217 7.217 8.107
angles: 98.53 98.53 119.98
Fractional positions:
Sm (0.000, 0.000, 0.000)
Ho (0.333, 0.667, 0.000)
Ho (0.667, 0.333, 0.000)
In (0.166, 0.834, 0.500)
In (0.500, 0.500, 0.500)
In (0.834, 0.166, 0.500)
Se (0.070, 0.410, 0.210)
Se (0.271, 0.271, 0.792)
Se (0.410, 0.070, 0.210)
Se (0.590, 0.930, 0.790)
Se (0.729, 0.729, 0.208)
Se (0.930, 0.590, 0.790)

---

[3]
# BaNa2Ge6

Crystalline BaNa2Ge6 at its relaxed geometry (PBE-GGA, Alexandria via LeMat-Bulk).

Calculated values
SG = Immm, No. 71
Crystal system = orthorhombic
Formation enthalpy at 0 K = -0.1389 eV/atom

abc: 7.769 7.769 7.769
angles: 149.25 99.87 88.24
Fractional positions:
Ba (0.000, 0.000, 0.000)
Na (0.341, 0.841, 0.500)
Na (0.659, 0.159, 0.500)
Ge (0.041, 0.319, 0.722)
Ge (0.369, 0.500, 0.869)
Ge (0.404, 0.681, 0.722)
Ge (0.596, 0.319, 0.278)
Ge (0.631, 0.500, 0.131)
Ge (0.959, 0.681, 0.278)

---

[4]
# Ta2TiAlH

Crystalline Ta2TiAlH at its relaxed geometry (PBE-GGA, Alexandria via LeMat-Bulk).

Calculated values
Electronic total energy = -39.37 eV for the cell shown
SG = P4/mmm, No. 123
Crystal system = tetragonal

abc: 3.973 3.973 4.553
angles: 90.00 90.00 90.00
Fractional positions:
Ta (0.000, 0.500, 0.000)
Ta (0.500, 0.000, 0.000)
Ti (0.000, 0.000, 0.500)
Al (0.500, 0.500, 0.500)
H (0.500, 0.500, 0.000)

---

What did the second record say?
# SmHo2In3Se6

Crystalline SmHo2In3Se6 at its relaxed geometry (PBE-GGA, Alexandria via LeMat-Bulk).

Calculated values
Formation energy from raw total energies = -1.297 eV/atom
SG = C2/m, No. 12
Crystal system = monoclinic

abc: 7.217 7.217 8.107
angles: 98.53 98.53 119.98
Fractional positions:
Sm (0.000, 0.000, 0.000)
Ho (0.333, 0.667, 0.000)
Ho (0.667, 0.333, 0.000)
In (0.166, 0.834, 0.500)
In (0.500, 0.500, 0.500)
In (0.834, 0.166, 0.500)
Se (0.070, 0.410, 0.210)
Se (0.271, 0.271, 0.792)
Se (0.410, 0.070, 0.210)
Se (0.590, 0.930, 0.790)
Se (0.729, 0.729, 0.208)
Se (0.930, 0.590, 0.790)